DFT (GGA+U) results for an optimized crystal structure of ZrMo3O.

## Properties
offset from the most stable computed form	2137	meV/atom
M_tot	10.5	μB/cell

```
ZrMo3O
1.0
-0.696 -1.148 5.070
-3.530 -3.651 -1.311
3.816 -3.586 -0.288
Mo O Zr
3 1 1
Cartesian
-0.348 -0.574 2.535
-1.765 -1.825 -0.656
1.908 -1.793 -0.144
-0.205 -4.193 1.735
0.000 0.000 0.000
```